[1]
## Sr2TlSnHg6 (PBE-GGA)

Data for a relaxed structure of Sr2TlSnHg6.

The energy of formation comes out at -252 meV/atom. The symmetry is P-1, No. 2. The calculation puts the raw total energy at -1.406 eV/atom.

CIF file:
```
data_Sr2TlSnHg6
_chemical_formula_sum 'Sr2 Tl1 Sn1 Hg6'
_cell_length_a 5.818
_cell_length_b 11.044
_cell_length_c 7.917
_cell_angle_alpha 44.50
_cell_angle_beta 66.09
_cell_angle_gamma 89.11
_space_group_name_H-M_alt 'P 1'
_space_group_IT_number 1
loop_
_space_group_symop_operation_xyz
'x,y,z'
loop_
_atom_site_label
_atom_site_fract_x
_atom_site_fract_y
_atom_site_fract_z
_atom_site_occupancy
Hg1 0.312 0.819 0.843 1
Hg2 0.739 0.550 0.520 1
Hg3 0.261 0.450 0.480 1
Hg4 0.190 0.156 0.159 1
Hg5 0.810 0.844 0.841 1
Hg6 0.688 0.181 0.157 1
Sr1 0.232 0.723 0.536 1
Sr2 0.768 0.277 0.464 1
Tl1 0.000 0.000 0.000 1
Sn1 0.500 0.500 0.000 1
```

---

[2]
## Sr3Tl2Sn2Hg4 (PBE-GGA)

Data for a relaxed structure of Sr3Tl2Sn2Hg4.

The energy of formation comes out at -367 meV/atom. The symmetry is P-3m1, No. 164. The calculation puts the raw total energy at -2.094 eV/atom.

CIF file:
```
data_Sr3Tl2Sn2Hg4
_chemical_formula_sum 'Sr3 Tl2 Sn2 Hg4'
_cell_length_a 4.932
_cell_length_b 4.932
_cell_length_c 16.817
_cell_angle_alpha 90.00
_cell_angle_beta 90.00
_cell_angle_gamma 120.00
_space_group_name_H-M_alt 'P 1'
_space_group_IT_number 1
loop_
_space_group_symop_operation_xyz
'x,y,z'
loop_
_atom_site_label
_atom_site_fract_x
_atom_site_fract_y
_atom_site_fract_z
_atom_site_occupancy
Tl1 0.333 0.667 0.560 1
Tl2 0.667 0.333 0.440 1
Hg1 0.333 0.667 0.885 1
Hg2 0.667 0.333 0.115 1
Hg3 0.333 0.667 0.368 1
Hg4 0.667 0.333 0.632 1
Sr1 0.000 0.000 0.000 1
Sr2 0.000 0.000 0.739 1
Sr3 0.000 0.000 0.261 1
Sn1 0.333 0.667 0.137 1
Sn2 0.667 0.333 0.863 1
```

---

[3]
## SrZnSnHg2 (PBE-GGA)

Data for a relaxed structure of SrZnSnHg2.

The energy of formation comes out at -144 meV/atom. The symmetry is P4/mmm, No. 123. The calculation puts the raw total energy at -1.656 eV/atom.

CIF file:
```
data_SrZnSnHg2
_chemical_formula_sum 'Sr1 Zn1 Sn1 Hg2'
_cell_length_a 5.218
_cell_length_b 5.218
_cell_length_c 5.384
_cell_angle_alpha 90.00
_cell_angle_beta 90.00
_cell_angle_gamma 90.00
_space_group_name_H-M_alt 'P 1'
_space_group_IT_number 1
loop_
_space_group_symop_operation_xyz
'x,y,z'
loop_
_atom_site_label
_atom_site_fract_x
_atom_site_fract_y
_atom_site_fract_z
_atom_site_occupancy
Hg1 0.500 0.000 0.000 1
Hg2 0.000 0.500 0.000 1
Sn1 0.000 0.000 0.500 1
Sr1 0.500 0.500 0.500 1
Zn1 0.000 0.000 0.000 1
```

---

[4]
## Sr2ZnSnHg6 (PBE-GGA)

Data for a relaxed structure of Sr2ZnSnHg6.

The energy of formation comes out at -205 meV/atom. The symmetry is Pmmn, No. 59. The calculation puts the raw total energy at -1.250 eV/atom.

CIF file:
```
data_Sr2ZnSnHg6
_chemical_formula_sum 'Sr4 Zn2 Sn2 Hg12'
_cell_length_a 6.170
_cell_length_b 10.282
_cell_length_c 9.225
_cell_angle_alpha 90.00
_cell_angle_beta 90.00
_cell_angle_gamma 90.00
_space_group_name_H-M_alt 'P 1'
_space_group_IT_number 1
loop_
_space_group_symop_operation_xyz
'x,y,z'
loop_
_atom_site_label
_atom_site_fract_x
_atom_site_fract_y
_atom_site_fract_z
_atom_site_occupancy
Sr1 0.000 0.256 0.757 1
Sr2 0.500 0.744 0.257 1
Sr3 0.500 0.744 0.743 1
Sr4 0.000 0.256 0.243 1
Hg1 0.756 0.015 0.500 1
Hg2 0.253 0.469 0.500 1
Hg3 0.500 0.114 0.753 1
Hg4 0.000 0.886 0.747 1
Hg5 0.744 0.985 0.000 1
Hg6 0.500 0.114 0.247 1
Hg7 0.247 0.531 0.000 1
Hg8 0.747 0.469 0.500 1
Hg9 0.753 0.531 0.000 1
Hg10 0.256 0.985 0.000 1
Hg11 0.244 0.015 0.500 1
Hg12 0.000 0.886 0.253 1
Zn1 0.500 0.255 0.500 1
Zn2 0.000 0.745 0.000 1
Sn1 0.500 0.289 0.000 1
Sn2 0.000 0.711 0.500 1
```

---

[5]
## Sr2ZnSn2Hg4 (PBE-GGA)

Data for a relaxed structure of Sr2ZnSn2Hg4.

The energy of formation comes out at -324 meV/atom. The symmetry is I4/mmm, No. 139. The calculation puts the raw total energy at -1.863 eV/atom.

CIF file:
```
data_Sr2ZnSn2Hg4
_chemical_formula_sum 'Sr2 Zn1 Sn2 Hg4'
_cell_length_a 7.074
_cell_length_b 7.074
_cell_length_c 7.074
_cell_angle_alpha 88.93
_cell_angle_beta 120.62
_cell_angle_gamma 120.62
_space_group_name_H-M_alt 'P 1'
_space_group_IT_number 1
loop_
_space_group_symop_operation_xyz
'x,y,z'
loop_
_atom_site_label
_atom_site_fract_x
_atom_site_fract_y
_atom_site_fract_z
_atom_site_occupancy
Hg1 0.459 0.729 0.729 1
Hg2 0.000 0.271 0.729 1
Hg3 0.000 0.729 0.271 1
Hg4 0.541 0.271 0.271 1
Sr1 0.500 0.750 0.250 1
Sr2 0.500 0.250 0.750 1
Zn1 0.000 0.000 0.000 1
Sn1 0.000 0.708 0.708 1
Sn2 0.000 0.292 0.292 1
```

---

[6]
## Sr2Zn4Sn3Hg (PBE-GGA)

Data for a relaxed structure of Sr2Zn4Sn3Hg.

The energy of formation comes out at -347 meV/atom. The symmetry is P-4m2, No. 115. The calculation puts the raw total energy at -2.424 eV/atom.

CIF file:
```
data_Sr2Zn4Sn3Hg
_chemical_formula_sum 'Sr2 Zn4 Sn3 Hg1'
_cell_length_a 4.584
_cell_length_b 4.584
_cell_length_c 11.650
_cell_angle_alpha 90.00
_cell_angle_beta 90.00
_cell_angle_gamma 90.00
_space_group_name_H-M_alt 'P 1'
_space_group_IT_number 1
loop_
_space_group_symop_operation_xyz
'x,y,z'
loop_
_atom_site_label
_atom_site_fract_x
_atom_site_fract_y
_atom_site_fract_z
_atom_site_occupancy
Hg1 0.500 0.500 0.500 1
Sn1 0.000 0.500 0.133 1
Sn2 0.500 0.000 0.867 1
Sn3 0.000 0.000 0.500 1
Zn1 0.000 0.500 0.361 1
Zn2 0.500 0.000 0.639 1
Zn3 0.000 0.000 0.000 1
Zn4 0.500 0.500 0.000 1
Sr1 0.500 0.000 0.247 1
Sr2 0.000 0.500 0.753 1
```

---

[7]
## Sr2Zn4SnHg3 (PBE-GGA)

Data for a relaxed structure of Sr2Zn4SnHg3.

The energy of formation comes out at -288 meV/atom. The symmetry is P-4m2, No. 115. The calculation puts the raw total energy at -1.625 eV/atom.

CIF file:
```
data_Sr2Zn4SnHg3
_chemical_formula_sum 'Sr2 Zn4 Sn1 Hg3'
_cell_length_a 4.524
_cell_length_b 4.524
_cell_length_c 11.871
_cell_angle_alpha 90.00
_cell_angle_beta 90.00
_cell_angle_gamma 90.00
_space_group_name_H-M_alt 'P 1'
_space_group_IT_number 1
loop_
_space_group_symop_operation_xyz
'x,y,z'
loop_
_atom_site_label
_atom_site_fract_x
_atom_site_fract_y
_atom_site_fract_z
_atom_site_occupancy
Sr1 0.000 0.500 0.750 1
Sr2 0.500 0.000 0.250 1
Zn1 0.500 0.500 0.000 1
Zn2 0.000 0.000 0.000 1
Zn3 0.000 0.500 0.361 1
Zn4 0.500 0.000 0.639 1
Hg1 0.500 0.000 0.865 1
Hg2 0.000 0.500 0.135 1
Hg3 0.000 0.000 0.500 1
Sn1 0.500 0.500 0.500 1
```

---

[8]
## Sr2Zn3Sn4Hg (PBE-GGA)

Data for a relaxed structure of Sr2Zn3Sn4Hg.

The energy of formation comes out at -335 meV/atom. The symmetry is P-4m2, No. 115. The calculation puts the raw total energy at -2.685 eV/atom.

CIF file:
```
data_Sr2Zn3Sn4Hg
_chemical_formula_sum 'Sr2 Zn3 Sn4 Hg1'
_cell_length_a 4.763
_cell_length_b 4.763
_cell_length_c 11.524
_cell_angle_alpha 90.00
_cell_angle_beta 90.00
_cell_angle_gamma 90.00
_space_group_name_H-M_alt 'P 1'
_space_group_IT_number 1
loop_
_space_group_symop_operation_xyz
'x,y,z'
loop_
_atom_site_label
_atom_site_fract_x
_atom_site_fract_y
_atom_site_fract_z
_atom_site_occupancy
Sr1 0.000 0.500 0.744 1
Sr2 0.500 0.000 0.256 1
Zn1 0.000 0.500 0.133 1
Zn2 0.500 0.000 0.867 1
Zn3 0.000 0.000 0.500 1
Sn1 0.500 0.500 0.000 1
Sn2 0.000 0.000 0.000 1
Sn3 0.000 0.500 0.361 1
Sn4 0.500 0.000 0.639 1
Hg1 0.500 0.500 0.500 1
```

---

[9]
## Sr2ZnSn4Hg3 (PBE-GGA)

Data for a relaxed structure of Sr2ZnSn4Hg3.

The energy of formation comes out at -302 meV/atom. The symmetry is P-4m2, No. 115. The calculation puts the raw total energy at -2.458 eV/atom.

CIF file:
```
data_Sr2ZnSn4Hg3
_chemical_formula_sum 'Sr2 Zn1 Sn4 Hg3'
_cell_length_a 4.851
_cell_length_b 4.851
_cell_length_c 12.142
_cell_angle_alpha 90.00
_cell_angle_beta 90.00
_cell_angle_gamma 90.00
_space_group_name_H-M_alt 'P 1'
_space_group_IT_number 1
loop_
_space_group_symop_operation_xyz
'x,y,z'
loop_
_atom_site_label
_atom_site_fract_x
_atom_site_fract_y
_atom_site_fract_z
_atom_site_occupancy
Sn1 0.500 0.500 0.000 1
Sn2 0.500 0.000 0.626 1
Sn3 0.000 0.000 0.000 1
Sn4 0.000 0.500 0.374 1
Sr1 0.000 0.500 0.737 1
Sr2 0.500 0.000 0.263 1
Hg1 0.000 0.000 0.500 1
Hg2 0.000 0.500 0.145 1
Hg3 0.500 0.000 0.855 1
Zn1 0.500 0.500 0.500 1
```

---

[10]
## SrZnSnHg (PBE-GGA)

Data for a relaxed structure of SrZnSnHg.

The energy of formation comes out at -298 meV/atom. The symmetry is F-43m, No. 216. The calculation puts the raw total energy at -2.113 eV/atom.

CIF file:
```
data_SrZnSnHg
_chemical_formula_sum 'Sr1 Zn1 Sn1 Hg1'
_cell_length_a 5.283
_cell_length_b 5.283
_cell_length_c 5.283
_cell_angle_alpha 60.00
_cell_angle_beta 60.00
_cell_angle_gamma 60.00
_space_group_name_H-M_alt 'P 1'
_space_group_IT_number 1
loop_
_space_group_symop_operation_xyz
'x,y,z'
loop_
_atom_site_label
_atom_site_fract_x
_atom_site_fract_y
_atom_site_fract_z
_atom_site_occupancy
Hg1 0.000 0.000 0.000 1
Zn1 0.500 0.500 0.500 1
Sr1 0.750 0.750 0.750 1
Sn1 0.250 0.250 0.250 1
```

---

[11]
## SrZr2SnHg (PBE-GGA)

Data for a relaxed structure of SrZr2SnHg.

The energy of formation comes out at 590 meV/atom. The symmetry is P4/mmm, No. 123. The calculation puts the raw total energy at -4.026 eV/atom.

CIF file:
```
data_SrZr2SnHg
_chemical_formula_sum 'Sr1 Zr2 Sn1 Hg1'
_cell_length_a 5.490
_cell_length_b 5.532
_cell_length_c 5.490
_cell_angle_alpha 90.00
_cell_angle_beta 90.00
_cell_angle_gamma 90.00
_space_group_name_H-M_alt 'P 1'
_space_group_IT_number 1
loop_
_space_group_symop_operation_xyz
'x,y,z'
loop_
_atom_site_label
_atom_site_fract_x
_atom_site_fract_y
_atom_site_fract_z
_atom_site_occupancy
Zr1 0.500 0.000 0.000 1
Zr2 0.000 0.000 0.500 1
Hg1 0.000 0.500 0.000 1
Sr1 0.500 0.500 0.500 1
Sn1 0.000 0.000 0.000 1
```

---

[12]
## Ta2Sn2Hg (PBE-GGA)

Data for a relaxed structure of Ta2Sn2Hg.

The energy of formation comes out at 233 meV/atom. The symmetry is P4/mbm, No. 127. The calculation puts the raw total energy at -6.170 eV/atom.

CIF file:
```
data_Ta2Sn2Hg
_chemical_formula_sum 'Ta4 Sn4 Hg2'
_cell_length_a 7.608
_cell_length_b 7.608
_cell_length_c 3.748
_cell_angle_alpha 90.00
_cell_angle_beta 90.00
_cell_angle_gamma 90.00
_space_group_name_H-M_alt 'P 1'
_space_group_IT_number 1
loop_
_space_group_symop_operation_xyz
'x,y,z'
loop_
_atom_site_label
_atom_site_fract_x
_atom_site_fract_y
_atom_site_fract_z
_atom_site_occupancy
Hg1 0.000 0.000 0.000 1
Hg2 0.500 0.500 0.000 1
Sn1 0.333 0.167 0.500 1
Sn2 0.833 0.333 0.500 1
Sn3 0.667 0.833 0.500 1
Sn4 0.167 0.667 0.500 1
Ta1 0.373 0.873 0.000 1
Ta2 0.127 0.373 0.000 1
Ta3 0.627 0.127 0.000 1
Ta4 0.873 0.627 0.000 1
```

---

Q: Which of these has the highest raw total energy?
A: Sr2ZnSnHg6

---

Copy entry 11 word for word.
## SrZr2SnHg (PBE-GGA)

Data for a relaxed structure of SrZr2SnHg.

The energy of formation comes out at 590 meV/atom. The symmetry is P4/mmm, No. 123. The calculation puts the raw total energy at -4.026 eV/atom.

CIF file:
```
data_SrZr2SnHg
_chemical_formula_sum 'Sr1 Zr2 Sn1 Hg1'
_cell_length_a 5.490
_cell_length_b 5.532
_cell_length_c 5.490
_cell_angle_alpha 90.00
_cell_angle_beta 90.00
_cell_angle_gamma 90.00
_space_group_name_H-M_alt 'P 1'
_space_group_IT_number 1
loop_
_space_group_symop_operation_xyz
'x,y,z'
loop_
_atom_site_label
_atom_site_fract_x
_atom_site_fract_y
_atom_site_fract_z
_atom_site_occupancy
Zr1 0.500 0.000 0.000 1
Zr2 0.000 0.000 0.500 1
Hg1 0.000 0.500 0.000 1
Sr1 0.500 0.500 0.500 1
Sn1 0.000 0.000 0.000 1
```

---

Q: What is the formula in the ninth record?
A: Sr2ZnSn4Hg3